Density functional theory data (PBE) for crystalline Er7Sc3 at its relaxed geometry.

Geometry as CIF:
```
data_Er7Sc3
_space_group_name_H-M_alt 'P 1'
_space_group_IT_number 1
_space_group_name_Hall 'P 1'
_cell_length_a 6.1943
_cell_length_b 10.4936
_cell_length_c 10.4936
_cell_angle_alpha 120.00
_cell_angle_beta 90.00
_cell_angle_gamma 90.00
loop_
_atom_site_label
_atom_site_type_symbol
_atom_site_fract_x
_atom_site_fract_y
_atom_site_fract_z
_atom_site_occupancy
Er1 Er 0.0133 0.6667 0.3333 1
Er2 Er 0.5133 0.3333 0.6667 1
Er3 Er 0.8815 0.8796 0.7593 1
Er4 Er 0.8815 0.8796 0.1204 1
Er5 Er 0.8815 0.2407 0.1204 1
Er6 Er 0.3815 0.1204 0.2407 1
Er7 Er 0.3815 0.1204 0.8796 1
Er8 Er 0.3815 0.7593 0.8796 1
Er9 Er 0.2145 0.4711 0.9422 1
Er10 Er 0.2145 0.4711 0.5289 1
Er11 Er 0.2145 0.0578 0.5289 1
Er12 Er 0.7145 0.5289 0.0578 1
Er13 Er 0.7145 0.5289 0.4711 1
Er14 Er 0.7145 0.9422 0.4711 1
Sc1 Sc 0.8689 0.2123 0.4247 1
Sc2 Sc 0.8689 0.2123 0.7877 1
Sc3 Sc 0.8689 0.5753 0.7877 1
Sc4 Sc 0.3689 0.7877 0.5753 1
Sc5 Sc 0.3689 0.7877 0.2123 1
Sc6 Sc 0.3689 0.4247 0.2123 1
```

Values from the calculation:
Fermi-level density of states, states/eV per cell: 34.80
Energy above the lowest structure with this stoichiometry, meV/atom: 161
SG: P6_3mc (186)
Electronic total energy, eV per atom: -4.89
Total moment, μB per formula unit: 2.1
ΔE_f, eV per atom: 0.204
Calculated volume, Å³/cell: 591